Entry 1:
Here is an optimized crystal structure of TlAuI3 from Alexandria via LeMat-Bulk. Energies are from PBE.

Uncorrected formation energy, kJ per mole of atoms: -30
Space-group type: C2/c (15)
E above lowest polymorph, meV/atom: 0.0

Lattice parameters (Å, degrees): 8.022 9.569 12.577 108.06 90.00 114.79
Fractional positions:
1 Tl 0.098 0.698 0.908
2 Tl 0.400 0.302 0.592
3 Tl 0.902 0.302 0.092
4 Tl 0.600 0.698 0.408
5 Au 0.000 0.500 0.500
6 Au 0.500 0.500 0.000
7 Au 0.250 0.000 0.250
8 Au 0.750 0.000 0.750
9 I 0.175 0.324 0.858
10 I 0.851 0.676 0.642
11 I 0.825 0.676 0.142
12 I 0.149 0.324 0.358
13 I 0.325 0.676 0.642
14 I 0.648 0.324 0.858
15 I 0.675 0.324 0.358
16 I 0.352 0.676 0.142
17 I 0.696 0.891 0.920
18 I 0.805 0.109 0.580
19 I 0.195 0.891 0.420
20 I 0.304 0.109 0.080


Entry 2:
Here is an optimized crystal structure of LiTmTiGa from Alexandria via LeMat-Bulk. Energies are from PBE.

Calculated formation energy, meV per atom: -147
Space-group type: F-43m (216)
DOS at the Fermi energy, states/eV/atom: 0.789

Lattice parameters (Å, degrees): 4.750 4.750 4.750 60.00 60.00 60.00
Each line ends with the local moment (μB).
Fractional positions:
1 Tm 0.750 0.750 0.750  0.13
2 Li 0.000 0.000 0.000  0.01
3 Ga 0.500 0.500 0.500  -0.04
4 Ti 0.250 0.250 0.250  0.63


no.,uncorrected energy (eV/atom)
1,-2.366
2,-4.474